# 1
VASP calculation (GGA-PBE) on BaAcMgIn after structural relaxation.

Cell lengths 8.3882, 8.3882, 8.3882 Å; angles 90.00, 90.00, 90.00 degrees
Closest atoms and distances in Å follow each position.
Space group F-43m (No. 216)
Asymmetric unit:
1 Ba 0.0000 0.0000 0.0000 x4  4 In 3.63, 4 Mg 3.63
2 Ac 0.0000 0.0000 0.5000 x4  4 Mg 3.63, 4 In 3.63
3 Mg 0.2500 0.2500 0.7500 x4  4 Ba 3.63, 4 Ac 3.63
4 In 0.2500 0.2500 0.2500 x4  4 Ac 3.63, 4 Ba 3.63

Summary:
Total DFT energy (no corrections): -45.0 eV for the cell shown
D(E_F): 0.9518 states/eV/atom
Distance to the lowest polymorph of the same formula: 17 meV/atom

***

# 2
VASP calculation (GGA-PBE) on BaAcNdIn after structural relaxation.

Cell lengths 8.4556, 8.4556, 8.4556 Å; angles 90.00, 90.00, 90.00 degrees
Closest atoms and distances in Å follow each position.
Space group F-43m (No. 216)
Asymmetric unit:
1 Ba 0.0000 0.0000 0.0000 x4  4 Ac 3.66, 4 In 3.66
2 Ac 0.2500 0.2500 0.2500 x4  4 Ba 3.66, 4 Nd 3.66
3 Nd 0.0000 0.0000 0.5000 x4  4 Ac 3.66, 4 In 3.66
4 In 0.2500 0.2500 0.7500 x4  4 Ba 3.66, 4 Nd 3.66

Summary:
Total DFT energy (no corrections): -53.8 eV for the cell shown
D(E_F): 1.3426 states/eV/atom

***

# 3
VASP calculation (GGA-PBE) on Ba3Ac3InO8 after structural relaxation.

Cell lengths 7.5282, 7.5282, 19.1443 Å; angles 90.00, 90.00, 120.00 degrees
Closest atoms and distances in Å follow each position.
Space group R-3m (No. 166, hexagonal axes)
Asymmetric unit:
1 Ba 0.0000 0.5000 0.0000 x9  6 O 2.82-2.85
2 Ac 0.0000 0.5000 0.5000 x9  6 O 2.58-2.59
3 In 0.0000 0.0000 0.5000 x3  6 O 2.36
4 O 0.0000 0.0000 0.2395 x6  3 Ac 2.58, 3 Ba 2.82
5 O 0.0270 0.5135 0.2319 x18  1 In 2.36, 2 Ac 2.59

Summary:
Total DFT energy (no corrections): -292.5 eV for the cell shown
D(E_F): 0.3879 states/eV/atom

***

# 4
VASP calculation (GGA-PBE) on BaAc2In3Pd6 after structural relaxation.

Cell lengths 4.5268, 4.5268, 14.7873 Å; angles 90.00, 90.00, 90.00 degrees
Closest atoms and distances in Å follow each position.
Space group P4/mmm (No. 123)
Asymmetric unit:
1 Ba 0.0000 0.0000 0.0000 x1  8 In 3.56, 8 Pd 3.76
2 Ac 0.0000 0.0000 0.3473 x2  8 Pd 3.11-3.22
3 In 0.5000 0.5000 0.1053 x2  4 Pd 2.68
4 In 0.5000 0.5000 0.5000 x1  2 Pd 2.65
5 Pd 0.0000 0.5000 0.2026 x4  2 In 2.68, 2 Pd 2.86
6 Pd 0.5000 0.5000 0.3207 x2  1 In 2.65, 4 Pd 2.86

Summary:
Total DFT energy (no corrections): -57.2 eV for the cell shown
D(E_F): 0.4607 states/eV/atom

***

# 5
VASP calculation (GGA-PBE) on BaAc2PmIn4 after structural relaxation.

Cell lengths 5.7669, 5.7669, 28.3295 Å; angles 90.00, 90.00, 120.00 degrees
Closest atoms and distances in Å follow each position.
Space group R-3m (No. 166, hexagonal axes)
Asymmetric unit:
1 Ba 0.0000 0.0000 0.0000 x3  8 In 3.60-3.66
2 Ac 0.0000 0.0000 0.2515 x6  8 In 3.46-3.69
3 Pm 0.0000 0.0000 0.5000 x3  8 In 3.35-3.50
4 In 0.0000 0.0000 0.1291 x6  4 Ac 3.47-3.59, 3 Pm 3.50, 1 Ba 3.66
5 In 0.0000 0.0000 0.3817 x6  1 Pm 3.35, 4 Ac 3.46-3.69, 3 Ba 3.60

Summary:
Total DFT energy (no corrections): -86.9 eV for the cell shown
D(E_F): 0.7974 states/eV/atom

***

# 6
VASP calculation (GGA-PBE) on BaAcInS4 after structural relaxation.

Cell lengths 7.1104, 6.9763, 8.7026 Å; angles 90.00, 107.38, 90.00 degrees
Closest atoms and distances in Å follow each position.
Space group P2_1/m (No. 11)
Asymmetric unit:
1 Ba 0.2434 0.2500 0.4376 x2  6 S 3.09-3.40
2 Ac 0.2761 0.2500 0.9434 x2  6 S 3.01-3.09
3 In 0.2618 0.7500 0.1856 x2  4 S 2.44-2.47
4 S 0.0524 0.7500 0.9046 x2  1 In 2.45
5 S 0.0593 0.7500 0.3678 x2  1 In 2.44
6 S 0.4934 0.5118 0.7649 x4  1 In 2.47

Summary:
Total DFT energy (no corrections): -72.5 eV for the cell shown
D(E_F): 0.0000 states/eV/atom

***

# 7
VASP calculation (GGA-PBE) on Ba2AcIn2Sb4 after structural relaxation.

Cell lengths 17.1876, 4.9878, 8.1753 Å; angles 90.00, 108.37, 90.00 degrees
Closest atoms and distances in Å follow each position.
Space group C2/m (No. 12)
Asymmetric unit:
1 Ba 0.1319 0.0000 0.0723 x4  7 Sb 3.63-3.84, 1 In 3.99
2 Ac 0.0000 0.0000 0.5000 x2  6 Sb 3.43-3.48
3 In 0.1721 0.5000 0.5058 x4  4 Sb 2.92-3.06
4 Sb 0.0172 0.5000 0.2250 x4  1 In 2.92
5 Sb 0.2107 0.0000 0.7085 x4  3 In 2.95-3.06

Summary:
Total DFT energy (no corrections): -73.1 eV for the cell shown
D(E_F): 0.2092 states/eV/atom

***

# 8
VASP calculation (GGA-PBE) on BaAcInSe4 after structural relaxation.

Cell lengths 7.3454, 7.2628, 9.0036 Å; angles 90.00, 107.33, 90.00 degrees
Closest atoms and distances in Å follow each position.
Space group P2_1/m (No. 11)
Asymmetric unit:
1 Ba 0.2474 0.2500 0.0599 x2  6 Se 3.22-3.48
2 Ac 0.2296 0.2500 0.5584 x2  6 Se 3.14-3.22
3 In 0.2337 0.7500 0.3144 x2  4 Se 2.57-2.60
4 Se 0.0143 0.5159 0.7373 x4  1 In 2.60
5 Se 0.4349 0.7500 0.1250 x2  1 In 2.57
6 Se 0.4438 0.7500 0.6007 x2  1 In 2.58

Summary:
Total DFT energy (no corrections): -66.3 eV for the cell shown

***

# 9
VASP calculation (GGA-PBE) on BaAcInSi after structural relaxation.

Cell lengths 8.1000, 8.1000, 8.1000 Å; angles 90.00, 90.00, 90.00 degrees
Closest atoms and distances in Å follow each position.
Space group F-43m (No. 216)
Asymmetric unit:
1 Ba 0.0000 0.0000 0.0000 x4  4 In 3.51, 4 Si 3.51
2 Ac 0.0000 0.0000 0.5000 x4  4 In 3.51, 4 Si 3.51
3 In 0.2500 0.2500 0.2500 x4  4 Ba 3.51, 4 Ac 3.51
4 Si 0.2500 0.2500 0.7500 x4  4 Ba 3.51, 4 Ac 3.51

Summary:
Total DFT energy (no corrections): -60.4 eV for the cell shown
D(E_F): 0.7188 states/eV/atom

***

# 10
VASP calculation (GGA-PBE) on BaAcSmIn after structural relaxation.

Cell lengths 8.4253, 8.4253, 8.4253 Å; angles 90.00, 90.00, 90.00 degrees
Closest atoms and distances in Å follow each position.
Space group F-43m (No. 216)
Asymmetric unit:
1 Ba 0.0000 0.0000 0.0000 x4  4 Ac 3.65, 4 In 3.65
2 Ac 0.2500 0.2500 0.2500 x4  4 Ba 3.65, 4 Sm 3.65
3 Sm 0.0000 0.0000 0.5000 x4  4 In 3.65, 4 Ac 3.65
4 In 0.2500 0.2500 0.7500 x4  4 Ba 3.65, 4 Sm 3.65

Summary:
Total DFT energy (no corrections): -53.4 eV for the cell shown
D(E_F): 1.3305 states/eV/atom

***

# 11
VASP calculation (GGA-PBE) on BaAc2SmIn4 after structural relaxation.

Cell lengths 5.7616, 5.7616, 28.3121 Å; angles 90.00, 90.00, 120.00 degrees
Closest atoms and distances in Å follow each position.
Space group R-3m (No. 166, hexagonal axes)
Asymmetric unit:
1 Ba 0.0000 0.0000 0.0000 x3  8 In 3.60-3.66
2 Ac 0.0000 0.0000 0.2514 x6  8 In 3.46-3.70
3 Sm 0.0000 0.0000 0.5000 x3  8 In 3.34-3.49
4 In 0.0000 0.0000 0.1292 x6  4 Ac 3.46-3.59, 3 Sm 3.49, 1 Ba 3.66
5 In 0.0000 0.0000 0.3821 x6  1 Sm 3.34, 4 Ac 3.46-3.70, 3 Ba 3.60

Summary:
Total DFT energy (no corrections): -86.7 eV for the cell shown
D(E_F): 0.8028 states/eV/atom

***

# 12
VASP calculation (GGA-PBE) on BaAc2In2Sn2 after structural relaxation.

Cell lengths 5.3058, 5.3058, 31.2862 Å; angles 90.00, 90.00, 120.00 degrees
Closest atoms and distances in Å follow each position.
Space group R-3m (No. 166, hexagonal axes)
Asymmetric unit:
1 Ba 0.0000 0.0000 0.0000 x3  6 Sn 3.83, 6 In 4.03, 2 Ac 4.10
2 Ac 0.0000 0.0000 0.1310 x6  3 In 3.40, 3 Sn 3.55, 3 Ac 3.79
3 In 0.0000 0.0000 0.4171 x6  3 Sn 3.08, 3 Ac 3.40
4 Sn 0.0000 0.0000 0.2599 x6  3 In 3.08

Summary:
Total DFT energy (no corrections): -77.7 eV for the cell shown
D(E_F): 0.9023 states/eV/atom

***

# 13
VASP calculation (GGA-PBE) on BaSrAcIn after structural relaxation.

Cell lengths 8.7300, 8.7300, 8.7300 Å; angles 90.00, 90.00, 90.00 degrees
Closest atoms and distances in Å follow each position.
Space group F-43m (No. 216)
Asymmetric unit:
1 Ba 0.0000 0.0000 0.0000 x4  4 Sr 3.78, 4 In 3.78
2 Sr 0.2500 0.2500 0.7500 x4  4 Ba 3.78, 4 Ac 3.78
3 Ac 0.0000 0.0000 0.5000 x4  4 In 3.78, 4 Sr 3.78
4 In 0.2500 0.2500 0.2500 x4  4 Ba 3.78, 4 Ac 3.78

Summary:
Total DFT energy (no corrections): -43.2 eV for the cell shown
D(E_F): 0.9396 states/eV/atom

***

# 14
VASP calculation (GGA-PBE) on BaSr2AcIn4 after structural relaxation.

Cell lengths 5.8500, 5.8500, 28.6667 Å; angles 90.00, 90.00, 120.00 degrees
Closest atoms and distances in Å follow each position.
Space group R-3m (No. 166, hexagonal axes)
Asymmetric unit:
1 Ba 0.0000 0.0000 0.0000 x3  8 In 3.61-3.63
2 Sr 0.0000 0.0000 0.2509 x6  8 In 3.54-3.65
3 Ac 0.0000 0.0000 0.5000 x3  8 In 3.49-3.57
4 In 0.0000 0.0000 0.1266 x6  4 Sr 3.56-3.61, 3 Ac 3.57, 1 Ba 3.63
5 In 0.0000 0.0000 0.3782 x6  1 Ac 3.49, 4 Sr 3.54-3.65, 3 Ba 3.61

Summary:
Total DFT energy (no corrections): -71.0 eV for the cell shown
D(E_F): 0.8568 states/eV/atom

***

# 15
VASP calculation (GGA-PBE) on BaAcTbIn after structural relaxation.

Cell lengths 8.3902, 8.3902, 8.3902 Å; angles 90.00, 90.00, 90.00 degrees
Closest atoms and distances in Å follow each position.
Space group F-43m (No. 216)
Asymmetric unit:
1 Ba 0.0000 0.0000 0.0000 x4  4 Ac 3.63, 4 In 3.63
2 Ac 0.2500 0.2500 0.2500 x4  4 Ba 3.63, 4 Tb 3.63
3 Tb 0.0000 0.0000 0.5000 x4  4 Ac 3.63, 4 In 3.63
4 In 0.2500 0.2500 0.7500 x4  4 Ba 3.63, 4 Tb 3.63

Summary:
Total DFT energy (no corrections): -52.7 eV for the cell shown
D(E_F): 1.4048 states/eV/atom

***

# 16
VASP calculation (GGA-PBE) on BaAcIn2Te4 after structural relaxation.

Cell lengths 8.2595, 4.7512, 8.4747 Å; angles 90.00, 109.15, 90.00 degrees
Closest atoms and distances in Å follow each position.
Space group P2/m (No. 10)
Asymmetric unit:
1 Ba 0.0000 0.0000 0.0000 x1  6 Te 3.52-3.53
2 Ac 0.0000 0.5000 0.5000 x1  6 Te 3.33
3 In 0.5000 0.0000 0.5000 x1  6 Te 3.28-3.29
4 In 0.5000 0.5000 0.0000 x1  6 Te 3.47-3.50
5 Te 0.2490 0.0000 0.7319 x2  3 In 3.29-3.47, 2 Ac 3.33, 1 Ba 3.53
6 Te 0.2612 0.5000 0.2733 x2  3 In 3.28-3.50, 1 Ac 3.33, 2 Ba 3.52

Summary:
Total DFT energy (no corrections): -31.8 eV for the cell shown
D(E_F): 0.6490 states/eV/atom

***

# 17
VASP calculation (GGA-PBE) on Ba2AcInTe4 after structural relaxation.

Cell lengths 8.3807, 4.9111, 8.5968 Å; angles 90.00, 108.84, 90.00 degrees
Closest atoms and distances in Å follow each position.
Space group P2/m (No. 10)
Asymmetric unit:
1 Ba 0.0000 0.0000 0.0000 x1  6 Te 3.57-3.58
2 Ba 0.0000 0.5000 0.5000 x1  6 Te 3.49
3 Ac 0.5000 0.0000 0.5000 x1  6 Te 3.33-3.39
4 In 0.5000 0.5000 0.0000 x1  6 Te 3.42-3.48
5 Te 0.2596 0.0000 0.7420 x2  1 Ac 3.33, 2 In 3.48, 3 Ba 3.49-3.57
6 Te 0.2657 0.5000 0.2607 x2  2 Ac 3.39, 1 In 3.42, 3 Ba 3.49-3.58

Summary:
Total DFT energy (no corrections): -34.4 eV for the cell shown

***

# 18
VASP calculation (GGA-PBE) on Ba2AcInTe5 after structural relaxation.

Cell lengths 4.7148, 21.1448, 14.3467 Å; angles 90.00, 90.00, 90.00 degrees
Closest atoms and distances in Å follow each position.
Space group Cmc2_1 (No. 36)
Asymmetric unit:
1 Ba 0.0000 0.1159 0.0000 x4  8 Te 3.51-3.87
2 Ba 0.0000 0.1238 0.6383 x4  6 Te 3.54-3.59
3 Ac 0.0000 0.2089 0.3379 x4  6 Te 3.24-3.49
4 In 0.0000 0.4436 0.7549 x4  4 Te 2.78-2.93
5 Te 0.0000 0.0452 0.3714 x4  2 In 2.90
6 Te 0.0000 0.2915 0.9964 x4  2 Ac 3.28, 2 Ba 3.59
7 Te 0.0000 0.3164 0.6746 x4  1 In 2.93
8 Te 0.0000 0.3616 0.3215 x4  1 Ac 3.24, 4 Ba 3.51-3.54
9 Te 0.0000 0.4967 0.0823 x4  1 In 2.78

Summary:
Total DFT energy (no corrections): -153.8 eV for the cell shown

***

# 19
VASP calculation (GGA-PBE) on Ba3Ac3Tl2In after structural relaxation.

Cell lengths 9.9748, 9.9748, 4.2442 Å; angles 90.00, 90.00, 120.00 degrees
Closest atoms and distances in Å follow each position.
Space group P-62m (No. 189)
Asymmetric unit:
1 Ba 0.0000 0.7120 0.0000 x3  2 In 3.57, 2 Tl 3.57, 2 Ac 3.97
2 Ac 0.0000 0.3762 0.5000 x3  1 In 3.75, 4 Tl 3.78, 6 Ba 3.97-4.01
3 Tl 0.3333 0.6667 0.0000 x2  3 Ba 3.57, 6 Ac 3.78
4 In 0.0000 0.0000 0.5000 x1  6 Ba 3.57, 3 Ac 3.75

Summary:
Total DFT energy (no corrections): -27.1 eV for the cell shown
D(E_F): 0.7419 states/eV/atom

***

# 20
VASP calculation (GGA-PBE) on Ba3Ac3TlIn2 after structural relaxation.

Cell lengths 9.9830, 9.9830, 4.2156 Å; angles 90.00, 90.00, 120.00 degrees
Closest atoms and distances in Å follow each position.
Space group P-62m (No. 189)
Asymmetric unit:
1 Ba 0.0000 0.2872 0.0000 x3  2 Tl 3.56, 2 In 3.58, 2 Ac 3.94
2 Ac 0.0000 0.6206 0.5000 x3  4 In 3.77, 1 Tl 3.79, 6 Ba 3.94-4.02, 2 Ac 4.22
3 Tl 0.0000 0.0000 0.5000 x1  6 Ba 3.56, 3 Ac 3.79
4 In 0.3333 0.6667 0.0000 x2  3 Ba 3.58, 6 Ac 3.77

Summary:
Total DFT energy (no corrections): -27.6 eV for the cell shown
D(E_F): 0.8123 states/eV/atom

***

# 21
VASP calculation (GGA-PBE) on BaAcTmIn after structural relaxation.

Cell lengths 8.3601, 8.3601, 8.3601 Å; angles 90.00, 90.00, 90.00 degrees
Closest atoms and distances in Å follow each position.
Space group F-43m (No. 216)
Asymmetric unit:
1 Ba 0.0000 0.0000 0.0000 x4  4 In 3.62, 4 Ac 3.62
2 Ac 0.2500 0.2500 0.2500 x4  4 Ba 3.62, 4 Tm 3.62
3 Tm 0.0000 0.0000 0.5000 x4  4 Ac 3.62, 4 In 3.62
4 In 0.2500 0.2500 0.7500 x4  4 Tm 3.62, 4 Ba 3.62

Summary:
Total DFT energy (no corrections): -51.6 eV for the cell shown
D(E_F): 1.4314 states/eV/atom

***

# 22
VASP calculation (GGA-PBE) on BaAc2Ir after structural relaxation.

Cell lengths 4.4106, 4.4106, 31.8284 Å; angles 90.00, 90.00, 120.00 degrees
Closest atoms and distances in Å follow each position.
Space group R-3m (No. 166, hexagonal axes)
Asymmetric unit:
1 Ba 0.0000 0.0000 0.0000 x3  6 Ba 4.41, 6 Ac 4.53
2 Ac 0.0000 0.0000 0.2157 x6  3 Ir 2.99
3 Ir 0.0000 0.0000 0.5000 x3  6 Ac 2.99

Summary:
Total DFT energy (no corrections): -62.3 eV for the cell shown
D(E_F): 0.8273 states/eV/atom
Distance to the lowest polymorph of the same formula: 5 meV/atom

***

# 23
VASP calculation (GGA-PBE) on Ba2AcIr after structural relaxation.

Cell lengths 4.2413, 4.2413, 35.1503 Å; angles 90.00, 90.00, 120.00 degrees
Closest atoms and distances in Å follow each position.
Space group R-3m (No. 166, hexagonal axes)
Asymmetric unit:
1 Ba 0.0000 0.0000 0.1154 x6  3 Ir 3.04
2 Ac 0.0000 0.0000 0.0000 x3  2 Ba 4.06, 6 Ac 4.24
3 Ir 0.0000 0.0000 0.5000 x3  6 Ba 3.04

Summary:
Total DFT energy (no corrections): -47.8 eV for the cell shown
D(E_F): 0.7080 states/eV/atom
Distance to the lowest polymorph of the same formula: 538 meV/atom

***

# 24
VASP calculation (GGA-PBE) on BaAc4Ir2 after structural relaxation.

Cell lengths 21.1479, 4.4332, 7.5660 Å; angles 90.00, 105.89, 90.00 degrees
Closest atoms and distances in Å follow each position.
Space group C2/m (No. 12)
Asymmetric unit:
1 Ba 0.0000 0.0000 0.0000 x2  6 Ac 4.29-4.59, 2 Ba 4.43
2 Ac 0.1714 0.0000 0.5250 x4  3 Ir 2.98
3 Ac 0.1759 0.5000 0.0276 x4  3 Ir 2.96-2.98
4 Ir 0.2493 0.5000 0.7455 x4  6 Ac 2.96-2.98

Summary:
Total DFT energy (no corrections): -77.8 eV for the cell shown
D(E_F): 0.9368 states/eV/atom